Entry a
A relaxed NbAgRu3 crystal, computed with GGA-PBE.

The magnetic moment comes out at 3.048 μB/cell. As for the crystal system: cubic. The value obtained for the density is 7.95 g/cm³.

Cell: 4.721 4.721 4.721 Å, 90.00 90.00 90.00°
Space group Pm-3m (No. 221)
Inequivalent atoms, fractional coordinates:
Nb 0.000 0.000 0.000 x1
Ag 0.500 0.500 0.500 x1
Ru 0.000 0.000 0.500 x3

Entry b
A relaxed NbAgRu3 crystal, computed with GGA-PBE.

The magnetic moment comes out at 2.717 μB/cell. As for the crystal system: cubic. The value obtained for the density is 8.08 g/cm³.

Cell: 4.697 4.697 4.697 Å, 90.00 90.00 90.00°
Space group Pm-3m (No. 221)
Inequivalent atoms, fractional coordinates:
Nb 0.000 0.000 0.000 x1
Ag 0.500 0.500 0.500 x1
Ru 0.000 0.500 0.500 x3

Energies, relative to the best one, in meV/atom: entry a 0; entry b 733.

Entry a
A relaxed NbAgRu2 crystal, computed with GGA-PBE.

The magnetic moment comes out at 0.003 μB/cell. As for the crystal system: tetragonal. The value obtained for the density is 9.56 g/cm³.

Cell: 3.949 3.949 17.958 Å, 90.00 90.00 90.00°
Space group I-42d (No. 122)
Inequivalent atoms, fractional coordinates:
Nb 0.000 0.000 0.000 x4
Ag 0.000 0.000 0.500 x4
Ru 0.212 0.250 0.125 x8

Entry b
A relaxed NbAgRu2 crystal, computed with GGA-PBE.

The magnetic moment comes out at 0.000 μB/cell. As for the crystal system: cubic. The value obtained for the density is 10.58 g/cm³.

Cell: 6.325 6.325 6.325 Å, 90.00 90.00 90.00°
Space group Fm-3m (No. 225)
Inequivalent atoms, fractional coordinates:
Nb 0.000 0.000 0.000 x4
Ag 0.000 0.000 0.500 x4
Ru 0.250 0.250 0.250 x8

Energies, relative to the best one, in meV/atom: entry a 566; entry b 0.

Entry a
A relaxed NbAgTeRu2 crystal, computed with GGA-PBE.

The magnetic moment comes out at 0.957 μB/cell. As for the crystal system: tetragonal. The value obtained for the density is 7.64 g/cm³.

Cell: 4.713 4.713 5.190 Å, 90.00 90.00 90.00°
Space group P4/mmm (No. 123)
Inequivalent atoms, fractional coordinates:
Nb 0.000 0.000 0.000 x1
Ag 0.000 0.000 0.500 x1
Te 0.500 0.500 0.500 x1
Ru 0.000 0.500 0.000 x2

Entry b
A relaxed NbAgTeRu2 crystal, computed with GGA-PBE.

The magnetic moment comes out at 0.628 μB/cell. As for the crystal system: tetragonal. The value obtained for the density is 7.60 g/cm³.

Cell: 4.791 4.791 5.047 Å, 90.00 90.00 90.00°
Space group P4/mmm (No. 123)
Inequivalent atoms, fractional coordinates:
Nb 0.000 0.000 0.000 x1
Ag 0.500 0.500 0.000 x1
Te 0.000 0.000 0.500 x1
Ru 0.000 0.500 0.500 x2

Energies, relative to the best one, in meV/atom: entry a 0; entry b 140.

Entry a
A relaxed NbTlAgS2 crystal, computed with GGA-PBE.

The magnetic moment comes out at 3.050 μB/cell. As for the crystal system: tetragonal. The value obtained for the density is 5.79 g/cm³.

Cell: 5.118 5.118 5.135 Å, 90.00 90.00 90.00°
Space group P4/mmm (No. 123)
Inequivalent atoms, fractional coordinates:
Nb 0.000 0.000 0.000 x1
Tl 0.500 0.500 0.500 x1
Ag 0.500 0.500 0.000 x1
S 0.000 0.500 0.500 x2

Entry b
A relaxed NbTlAgS2 crystal, computed with GGA-PBE.

The magnetic moment comes out at 2.923 μB/cell. As for the crystal system: tetragonal. The value obtained for the density is 5.49 g/cm³.

Cell: 5.095 5.095 5.465 Å, 90.00 90.00 90.00°
Space group P4/mmm (No. 123)
Inequivalent atoms, fractional coordinates:
Nb 0.000 0.000 0.000 x1
Tl 0.000 0.000 0.500 x1
Ag 0.500 0.500 0.000 x1
S 0.000 0.500 0.500 x2

Energies, relative to the best one, in meV/atom: entry a 0; entry b 193.

Entry a
A relaxed Nb2AgSb2 crystal, computed with GGA-PBE.

The magnetic moment comes out at 0.000 μB/cell. As for the crystal system: tetragonal. The value obtained for the density is 8.49 g/cm³.

Cell: 7.748 7.748 3.502 Å, 90.00 90.00 90.00°
Space group P4/mbm (No. 127)
Inequivalent atoms, fractional coordinates:
Nb 0.137 0.363 0.000 x4
Ag 0.000 0.000 0.500 x2
Sb 0.154 0.654 0.500 x4

Entry b
A relaxed Nb2AgSb2 crystal, computed with GGA-PBE.

The magnetic moment comes out at 0.000 μB/cell. As for the crystal system: tetragonal. The value obtained for the density is 8.47 g/cm³.

Cell: 7.622 7.622 3.625 Å, 90.00 90.00 90.00°
Space group P4/mbm (No. 127)
Inequivalent atoms, fractional coordinates:
Nb 0.137 0.363 0.000 x4
Ag 0.000 0.000 0.000 x2
Sb 0.156 0.656 0.500 x4

Energies, relative to the best one, in meV/atom: entry a 95; entry b 0.

Entry a
A relaxed Sc2NbAg2 crystal, computed with GGA-PBE.

The magnetic moment comes out at 1.385 μB/cell. As for the crystal system: tetragonal. The value obtained for the density is 6.66 g/cm³.

Cell: 7.919 7.919 3.170 Å, 90.00 90.00 90.00°
Space group P4/mbm (No. 127)
Inequivalent atoms, fractional coordinates:
Sc 0.160 0.340 0.000 x4
Nb 0.000 0.000 0.000 x2
Ag 0.138 0.638 0.500 x4

Entry b
A relaxed Sc2NbAg2 crystal, computed with GGA-PBE.

The magnetic moment comes out at 1.143 μB/cell. As for the crystal system: tetragonal. The value obtained for the density is 6.61 g/cm³.

Cell: 8.001 8.001 3.129 Å, 90.00 90.00 90.00°
Space group P4/mbm (No. 127)
Inequivalent atoms, fractional coordinates:
Sc 0.175 0.325 0.000 x4
Nb 0.000 0.000 0.500 x2
Ag 0.125 0.625 0.500 x4

Energies, relative to the best one, in meV/atom: entry a 59; entry b 0.

Entry a
A relaxed ScNb3Ag crystal, computed with GGA-PBE.

The magnetic moment comes out at 0.000 μB/cell. As for the crystal system: cubic. The value obtained for the density is 5.88 g/cm³.

Cell: 4.957 4.957 4.957 Å, 90.00 90.00 90.00°
Space group Pm-3m (No. 221)
Inequivalent atoms, fractional coordinates:
Sc 0.000 0.000 0.000 x1
Nb 0.000 0.500 0.500 x3
Ag 0.500 0.500 0.500 x1

Entry b
A relaxed ScNb3Ag crystal, computed with GGA-PBE.

The magnetic moment comes out at 0.000 μB/cell. As for the crystal system: cubic. The value obtained for the density is 6.66 g/cm³.

Cell: 4.757 4.757 4.757 Å, 90.00 90.00 90.00°
Space group Pm-3m (No. 221)
Inequivalent atoms, fractional coordinates:
Sc 0.000 0.000 0.000 x1
Nb 0.000 0.000 0.500 x3
Ag 0.500 0.500 0.500 x1

Energies, relative to the best one, in meV/atom: entry a 0; entry b 90.

Entry a
A relaxed Sc2NbAg crystal, computed with GGA-PBE.

The magnetic moment comes out at 8.529 μB/cell. As for the crystal system: cubic. The value obtained for the density is 5.93 g/cm³.

Cell: 6.879 6.879 6.879 Å, 90.00 90.00 90.00°
Space group Fm-3m (No. 225)
Inequivalent atoms, fractional coordinates:
Sc 0.250 0.250 0.250 x8
Nb 0.000 0.000 0.000 x4
Ag 0.000 0.000 0.500 x4

Entry b
A relaxed Sc2NbAg crystal, computed with GGA-PBE.

The magnetic moment comes out at 2.331 μB/cell. As for the crystal system: trigonal. The value obtained for the density is 5.79 g/cm³.

Cell: 3.0132 3.0132 31.7936 Å, 90.00 90.00 120.00°
Space group R-3m (No. 166, hexagonal axes)
Inequivalent atoms, fractional coordinates:
Sc 0.0000 0.0000 0.0882 x6
Nb 0.0000 0.0000 0.0000 x3
Ag 0.0000 0.0000 0.5000 x3

Energies, relative to the best one, in meV/atom: entry a 0; entry b 220.

Entry a
A relaxed Sc2NbAg crystal, computed with GGA-PBE.

The magnetic moment comes out at 0.000 μB/cell. As for the crystal system: tetragonal. The value obtained for the density is 5.99 g/cm³.

Cell: 5.061 5.061 3.145 Å, 90.00 90.00 90.00°
Space group P4/mmm (No. 123)
Inequivalent atoms, fractional coordinates:
Sc 0.000 0.500 0.000 x2
Nb 0.000 0.000 0.500 x1
Ag 0.500 0.500 0.500 x1

Entry b
A relaxed Sc2NbAg crystal, computed with GGA-PBE.

The magnetic moment comes out at 0.000 μB/cell. As for the crystal system: tetragonal. The value obtained for the density is 5.95 g/cm³.

Cell: 3.131 3.131 8.277 Å, 90.00 90.00 90.00°
Space group P4/mmm (No. 123)
Inequivalent atoms, fractional coordinates:
Sc 0.000 0.000 0.245 x2
Nb 0.500 0.500 0.500 x1
Ag 0.500 0.500 0.000 x1

Entry c
A relaxed Sc2NbAg crystal, computed with GGA-PBE.

The magnetic moment comes out at 0.000 μB/cell. As for the crystal system: tetragonal. The value obtained for the density is 5.66 g/cm³.

Cell: 4.194 4.194 19.399 Å, 90.00 90.00 90.00°
Space group I-42d (No. 122)
Inequivalent atoms, fractional coordinates:
Sc 0.245 0.250 0.125 x8
Nb 0.000 0.000 0.000 x4
Ag 0.000 0.000 0.500 x4

Energies, relative to the best one, in meV/atom: entry a 111; entry b 0; entry c 573.

Entry a
A relaxed NbAg3Sn crystal, computed with GGA-PBE.

The magnetic moment comes out at 3.703 μB/cell. As for the crystal system: cubic. The value obtained for the density is 6.70 g/cm³.

Cell: 5.099 5.099 5.099 Å, 90.00 90.00 90.00°
Space group Pm-3m (No. 221)
Inequivalent atoms, fractional coordinates:
Nb 0.000 0.000 0.000 x1
Ag 0.000 0.500 0.500 x3
Sn 0.500 0.500 0.500 x1

Entry b
A relaxed NbAg3Sn crystal, computed with GGA-PBE.

The magnetic moment comes out at 1.141 μB/cell. As for the crystal system: cubic. The value obtained for the density is 6.40 g/cm³.

Cell: 5.180 5.180 5.180 Å, 90.00 90.00 90.00°
Space group Pm-3m (No. 221)
Inequivalent atoms, fractional coordinates:
Nb 0.000 0.000 0.000 x1
Ag 0.000 0.000 0.500 x3
Sn 0.500 0.500 0.500 x1

Energies, relative to the best one, in meV/atom: entry a 0; entry b 156.

Entry a
A relaxed SrNbAg crystal, computed with GGA-PBE.

The magnetic moment comes out at 0.000 μB/cell. As for the crystal system: triclinic. The value obtained for the density is 5.86 g/cm³.

Cell: 4.671 5.739 6.223 Å, 78.33 89.93 89.93°
Space group P-1 (No. 2)
Inequivalent atoms, fractional coordinates:
Sr 0.250 0.241 0.086 x2
Nb 0.251 0.583 0.511 x2
Ag 0.250 0.067 0.613 x2

Entry b
A relaxed SrNbAg crystal, computed with GGA-PBE.

The magnetic moment comes out at 0.819 μB/cell. As for the crystal system: hexagonal. The value obtained for the density is 6.46 g/cm³.

Cell: 5.0009 5.0009 6.8403 Å, 90.00 90.00 120.00°
Space group P6_3/mmc (No. 194)
Inequivalent atoms, fractional coordinates:
Sr 0.0000 0.0000 0.0000 x2
Nb 0.3333 0.6667 0.2500 x2
Ag 0.3333 0.6667 0.7500 x2

Energies, relative to the best one, in meV/atom: entry a 0; entry b 486.

Entry a
A relaxed SrNbAg crystal, computed with GGA-PBE.

The magnetic moment comes out at 17.222 μB/cell. As for the crystal system: cubic. The value obtained for the density is 4.81 g/cm³.

Cell: 7.356 7.356 7.356 Å, 90.00 90.00 90.00°
Space group F-43m (No. 216)
Inequivalent atoms, fractional coordinates:
Sr 0.000 0.000 0.000 x4
Nb 0.250 0.250 0.750 x4
Ag 0.250 0.250 0.250 x4

Entry b
A relaxed SrNbAg crystal, computed with GGA-PBE.

The magnetic moment comes out at 0.000 μB/cell. As for the crystal system: orthorhombic. The value obtained for the density is 6.08 g/cm³.

Cell: 4.974 12.148 5.216 Å, 90.00 90.00 90.00°
Space group Cmcm (No. 63)
Inequivalent atoms, fractional coordinates:
Sr 0.000 0.212 0.250 x4
Nb 0.000 0.500 0.000 x4
Ag 0.000 0.064 0.750 x4

Entry c
A relaxed SrNbAg crystal, computed with GGA-PBE.

The magnetic moment comes out at 9.048 μB/cell. As for the crystal system: hexagonal. The value obtained for the density is 3.26 g/cm³.

Cell: 5.1312 5.1312 12.9038 Å, 90.00 90.00 120.00°
Space group P6_3/mmc (No. 194)
Inequivalent atoms, fractional coordinates:
Sr 0.0000 0.0000 0.2500 x2
Nb 0.0000 0.0000 0.0000 x2
Ag 0.3333 0.6667 0.2500 x2

Entry d
A relaxed SrNbAg crystal, computed with GGA-PBE.

The magnetic moment comes out at 0.000 μB/cell. As for the crystal system: triclinic. The value obtained for the density is 6.03 g/cm³.

Cell: 3.476 6.387 7.974 Å, 112.66 102.53 90.16°
Space group P1 (No. 1)
Inequivalent atoms, fractional coordinates:
Sr 0.000 0.000 0.000 x1
Sr 0.358 0.365 0.720 x1
Nb 0.275 0.784 0.547 x1
Nb 0.680 0.906 0.361 x1
Ag 0.059 0.550 0.120 x1
Ag 0.680 0.382 0.363 x1

Energies, relative to the best one, in meV/atom: entry a 1195; entry b 0; entry c 1837; entry d 77.